Entry 1:
{"formula": "CdIn2GaHg6", "functional": "PBE", "state": "optimized geometry", "sg": "P1, No. 1", "e_form_ev_per_atom": 0.034, "crystal_system": "triclinic", "cell": [[7.4234, -1.4194, 0.0322], [2.5983, 6.0329, -0.2334], [3.3035, 1.4276, 5.2299]], "species": ["Hg", "Hg", "Hg", "Hg", "Hg", "Hg", "Ga", "In", "In", "Cd"], "fractional_positions": [[0.9559, 0.4549, 0.8440], [0.1644, 0.8613, 0.3572], [0.3976, 0.2577, 0.3631], [0.5569, 0.6756, 0.8415], [0.9896, 0.4451, 0.3335], [0.7442, 0.0726, 0.8458], [0.7818, 0.0645, 0.3451], [0.5801, 0.6666, 0.3427], [0.1448, 0.8824, 0.8595], [0.3462, 0.2809, 0.8827]]}

***

Entry 2:
{"formula": "Zn2Ag2Ge", "functional": "PBE", "state": "optimized geometry", "sg": "I4/mmm, No. 139", "de_polymorph_kj_per_mol_atoms": 4.7, "e_form_ev_per_atom": 0.152, "crystal_system": "tetragonal", "cell": [[3.5998, 0.0000, 0.0000], [0.0000, 3.5998, 0.0000], [1.7999, 1.7999, 6.9871]], "species": ["Ag", "Ag", "Zn", "Zn", "Ge"], "fractional_positions": [[0.3979, 0.3979, 0.2042], [0.6021, 0.6021, 0.7958], [0.7500, 0.2500, 0.5000], [0.2500, 0.7500, 0.5000], [0.0000, 0.0000, 0.0000]]}

***

Entry 3:
{"formula": "TbPmS3", "functional": "PBE", "state": "optimized geometry", "formation_energy_uncorrected_ev_per_fu": -10.4, "sg": "Pnma, No. 62", "de_polymorph_kj_per_mol_atoms": 0.0, "crystal_system": "orthorhombic", "cell": [[3.9801, 0.0000, 0.0000], [0.0000, 7.3937, 0.0000], [0.0000, 0.0000, 15.3957]], "species": ["S", "S", "S", "S", "S", "S", "S", "S", "S", "S", "S", "S", "Pm", "Pm", "Pm", "Pm", "Tb", "Tb", "Tb", "Tb"], "fractional_positions": [[0.7500, 0.6247, 0.4357], [0.2500, 0.0108, 0.3936], [0.2500, 0.1483, 0.7833], [0.2500, 0.3753, 0.5643], [0.2500, 0.8753, 0.9357], [0.7500, 0.8517, 0.2167], [0.7500, 0.3517, 0.2833], [0.7500, 0.9892, 0.6064], [0.7500, 0.1247, 0.0643], [0.2500, 0.6483, 0.7167], [0.7500, 0.4892, 0.8936], [0.2500, 0.5108, 0.1064], [0.2500, 0.1435, 0.2024], [0.2500, 0.6435, 0.2976], [0.7500, 0.3565, 0.7024], [0.7500, 0.8565, 0.7976], [0.7500, 0.2325, 0.4566], [0.2500, 0.2675, 0.9566], [0.7500, 0.7325, 0.0434], [0.2500, 0.7675, 0.5434]]}

***

Entry 4:
{"formula": "YCdAs2", "functional": "PBE", "state": "optimized geometry", "sg": "Cm, No. 8", "e_form_ev_per_atom": -0.624, "crystal_system": "monoclinic", "cell": [[5.7680, -0.0157, 0.0198], [4.3744, 3.7596, 0.0198], [0.8346, 0.3081, 4.1733]], "species": ["As", "As", "Y", "Cd"], "fractional_positions": [[0.7465, 0.7465, 0.6709], [0.9819, 0.9819, 0.1077], [0.2638, 0.2638, 0.1672], [0.5077, 0.5077, 0.5543]]}